! GGA-PBE CaZnGaIr, optimized geometry; values from VASP
! * energy of formation: -1.74 eV/f.u.
! * raw total energy: -16.91 eV/f.u.
! * D(E_F): 0.71 states/eV per atom
&SYSTEM
  ibrav = 0, nat = 4, ntyp = 4
/
ATOMIC_SPECIES
Zn 65.41 Zn.upf
Ir 192.22 Ir.upf
Ga 69.72 Ga.upf
Ca 40.08 Ca.upf
CELL_PARAMETERS angstrom
4.370 0.000 0.000
2.185 3.785 0.000
2.185 1.262 5.074
ATOMIC_POSITIONS crystal
Zn 0.009 0.009 0.972
Ir 0.622 0.622 0.133
Ga 0.279 0.279 0.162
Ca 0.815 0.815 0.555